1.
First-principles (PBE) data for an optimized crystal structure of K2Na2Cu, as listed in Alexandria.

Computed properties:
magnetic moment	0.00	μB/f.u.
crystal system	tetragonal
ΔH_f (0 K)	0.241	eV/atom
polymorph energy (0 for the lowest one)	0	meV/atom
uncorrected energy	-1.545	eV/atom
DOS at the Fermi energy	4.21	states/eV/cell

Cell: 8.0031 8.0031 6.2570 Å, 90.00 90.00 90.00°
Space group P4/mbm (No. 127)
One atom of each set of equivalent atoms:
K 0.1873 0.3127 0.0000
Na 0.1542 0.6542 0.5000
Cu 0.0000 0.0000 0.5000

2.
First-principles (PBE) data for an optimized crystal structure of KNaCu2, as listed in Alexandria.

Computed properties:
magnetic moment	0.00	μB/f.u.
crystal system	tetragonal
ΔH_f (0 K)	0.711	eV/atom
polymorph energy (0 for the lowest one)	203	meV/atom
uncorrected energy	-1.941	eV/atom
DOS at the Fermi energy	0.00	states/eV/cell

Cell: 6.9026 6.9026 13.5433 Å, 90.00 90.00 90.00°
Space group I-42d (No. 122)
One atom of each set of equivalent atoms:
K 0.0000 0.0000 0.0000
Na 0.0000 0.0000 0.5000
Cu 0.1976 0.2500 0.6250

3.
First-principles (PBE) data for an optimized crystal structure of K2NaCu, as listed in Alexandria.

Computed properties:
magnetic moment	0.00	μB/f.u.
crystal system	tetragonal
ΔH_f (0 K)	0.303	eV/atom
polymorph energy (0 for the lowest one)	9	meV/atom
uncorrected energy	-1.599	eV/atom
DOS at the Fermi energy	4.99	states/eV/cell

Cell: 11.3235 11.3235 5.8989 Å, 90.00 90.00 90.00°
Space group I-42d (No. 122)
One atom of each set of equivalent atoms:
K 0.1201 0.2500 0.1250
Na 0.0000 0.0000 0.5000
Cu 0.0000 0.0000 0.0000

4.
First-principles (PBE) data for an optimized crystal structure of K3NaCu, as listed in Alexandria.

Computed properties:
magnetic moment	0.00	μB/f.u.
crystal system	cubic
ΔH_f (0 K)	0.223	eV/atom
polymorph energy (0 for the lowest one)	0	meV/atom
uncorrected energy	-1.518	eV/atom
DOS at the Fermi energy	4.42	states/eV/cell

Cell: 6.4835 6.4835 6.4835 Å, 90.00 90.00 90.00°
Space group Pm-3m (No. 221)
One atom of each set of equivalent atoms:
K 0.0000 0.0000 0.5000
Na 0.5000 0.5000 0.5000
Cu 0.0000 0.0000 0.0000

5.
First-principles (PBE) data for an optimized crystal structure of KNaCu2, as listed in Alexandria.

Computed properties:
magnetic moment	0.00	μB/f.u.
crystal system	cubic
ΔH_f (0 K)	0.509	eV/atom
polymorph energy (0 for the lowest one)	0	meV/atom
uncorrected energy	-2.144	eV/atom
DOS at the Fermi energy	3.80	states/eV/cell

Cell: 7.4435 7.4435 7.4435 Å, 90.00 90.00 90.00°
Space group Fm-3m (No. 225)
One atom of each set of equivalent atoms:
K 0.0000 0.0000 0.0000
Na 0.0000 0.0000 0.5000
Cu 0.2500 0.2500 0.2500

6.
First-principles (PBE) data for an optimized crystal structure of K2Na2Cu, as listed in Alexandria.

Computed properties:
magnetic moment	0.00	μB/f.u.
crystal system	tetragonal
ΔH_f (0 K)	0.271	eV/atom
polymorph energy (0 for the lowest one)	30	meV/atom
uncorrected energy	-1.515	eV/atom
DOS at the Fermi energy	6.17	states/eV/cell

Cell: 4.4301 4.4301 22.1465 Å, 90.00 90.00 90.00°
Space group I4/mmm (No. 139)
One atom of each set of equivalent atoms:
K 0.0000 0.0000 0.0845
Na 0.0000 0.5000 0.2500
Cu 0.0000 0.0000 0.5000

7.
First-principles (PBE) data for an optimized crystal structure of K2NaCuO2, as listed in Alexandria.

Computed properties:
magnetic moment	0.00	μB/f.u.
crystal system	orthorhombic
uncorrected formation energy	-6.09	eV per formula unit
uncorrected energy	-3.936	eV/atom

Cell: 5.8046 10.2429 3.9082 Å, 90.00 90.00 90.00°
Space group Pnnm (No. 58)
One atom of each set of equivalent atoms:
K 0.1232 0.2477 0.0000
Na 0.0000 0.5000 0.5000
Cu 0.0000 0.0000 0.5000
O 0.2344 0.5953 0.0000

8.
First-principles (PBE) data for an optimized crystal structure of KNaCuO2, as listed in Alexandria.

Computed properties:
magnetic moment	1.00	μB/f.u.
crystal system	orthorhombic
uncorrected formation energy	-4.69	eV per formula unit
uncorrected energy	-4.225	eV/atom
DOS at the Fermi energy	20.56	states/eV/cell

Cell: 6.5134 12.1527 4.6973 Å, 90.00 90.00 90.00°
Space group Cmme (No. 67)
One atom of each set of equivalent atoms:
K 0.0000 0.2500 0.2391
Na 0.2500 0.0000 0.0000
Cu 0.0000 0.0000 0.5000
O 0.0000 0.1039 0.7594

Among the records above, which one has the highest magnetic moment? KNaCuO2

Which value of magnetic moment does entry 1 give? 0.00 μB/f.u.

Which of these has the highest magnetic moment? KNaCuO2